# 1
Compound: Re2SiPt
Source: Alexandria via LeMat-Bulk
Functional: PBE
Structure: optimized geometry

Unit cell a=6.676 b=6.676 c=6.676 alpha=129.81 beta=129.81 gamma=73.71
Fractional positions:
Re: 0.119 0.625 0.994
Re: 0.375 0.369 0.494
Re: 0.631 0.125 0.006
Re: 0.875 0.881 0.506
Si: 0.000 0.000 0.000
Si: 0.750 0.250 0.500
Pt: 0.250 0.750 0.500
Pt: 0.500 0.500 0.000

## Properties
space-group type	No. 122
energy	-0.5820	Ry per atom
total magnetization	0.0	μB per formula unit
D(E_F)	5.23	states/eV per cell

***

# 2
Compound: Tl2PW
Source: Alexandria via LeMat-Bulk
Functional: PBE
Structure: optimized geometry

Unit cell a=3.224 b=3.224 c=9.307 alpha=90.00 beta=90.00 gamma=90.00
Fractional positions:
Tl: 0.000 0.000 0.000
Tl: 0.500 0.500 0.291
P: 0.500 0.500 0.609
W: 0.000 0.000 0.699

## Properties
space-group type	No. 99
formation energy	315	meV/atom
total magnetization	0.0	μB per formula unit
D(E_F)	2.18	states/eV per cell

***

# 3
Compound: PmAg6Pd6
Source: Alexandria via LeMat-Bulk
Functional: PBE
Structure: optimized geometry

Unit cell a=7.132 b=7.132 c=7.132 alpha=135.46 beta=98.35 gamma=98.17
Fractional positions:
Pm: 0.000 0.000 0.000
Ag: 0.212 0.712 0.500
Ag: 0.347 0.000 0.347
Ag: 0.351 0.351 0.000
Ag: 0.649 0.649 0.000
Ag: 0.653 0.000 0.653
Ag: 0.788 0.288 0.500
Pd: 0.000 0.000 0.500
Pd: 0.000 0.500 0.000
Pd: 0.215 0.500 0.715
Pd: 0.500 0.000 0.000
Pd: 0.500 0.500 0.500
Pd: 0.785 0.500 0.285

## Properties
space-group type	No. 71
formation energy	-197	meV/atom
total magnetization	0.0	μB per formula unit
D(E_F)	6.42	states/eV per cell

***

# 4
Compound: Na4Pm3AsO8
Source: Alexandria via LeMat-Bulk
Functional: PBE
Structure: optimized geometry

Unit cell a=6.901 b=6.901 c=6.901 alpha=60.49 beta=60.49 gamma=60.49
Fractional positions:
Na: 0.000 0.000 0.000
Na: 0.000 0.500 0.500
Na: 0.500 0.000 0.500
Na: 0.500 0.500 0.000
Pm: 0.000 0.000 0.500
Pm: 0.000 0.500 0.000
Pm: 0.500 0.000 0.000
As: 0.500 0.500 0.500
O: 0.239 0.239 0.239
O: 0.251 0.732 0.732
O: 0.268 0.268 0.749
O: 0.268 0.749 0.268
O: 0.732 0.251 0.732
O: 0.732 0.732 0.251
O: 0.749 0.268 0.268
O: 0.761 0.761 0.761

## Properties
space-group type	No. 166
energy	-0.4595	Ry per atom
total magnetization	0.0	μB per formula unit
D(E_F)	0.00	states/eV per cell

***

# 5
Compound: AlFe2Mo
Source: Alexandria via LeMat-Bulk
Functional: PBE
Structure: optimized geometry

Unit cell a=2.605 b=4.062 c=5.096 alpha=90.00 beta=101.91 gamma=90.00
Fractional positions:
Al: 0.000 0.000 0.000
Fe: 0.281 0.500 0.758
Fe: 0.719 0.500 0.242
Mo: 0.500 0.000 0.500

## Properties
space-group type	No. 10
formation energy	-38	meV/atom
total magnetization	3.6	μB per formula unit
D(E_F)	3.91	states/eV per cell

***

# 6
Compound: HoEr2TlO
Source: Alexandria via LeMat-Bulk
Functional: PBE
Structure: optimized geometry

Unit cell a=4.733 b=4.733 c=4.765 alpha=90.00 beta=90.00 gamma=90.00
Fractional positions:
Ho: 0.000 0.000 0.000
Er: 0.000 0.500 0.500
Er: 0.500 0.000 0.500
Tl: 0.500 0.500 0.000
O: 0.000 0.000 0.500

## Properties
space-group type	No. 123
energy	-0.4074	Ry per atom
total magnetization	0.0	μB per formula unit
D(E_F)	1.60	states/eV per cell